Record 1
16
Lattice="0.000 6.977 12.908 3.440 0.000 12.908 3.440 6.977 0.000" Properties=species:S:1:pos:R:3 comment="Rb2SrPS4 (PBE, relaxed)" dos_ef_per_ev_fu=3.9 formation_energy_uncorrected_mev_per_atom=-857 m_tot_mub_per_cell=0.000 final_energy_ev_per_cell=-64.79 space_group="Fddd, No. 70" pbc="T T T"
Rb 2.580 5.232 1.638
Rb 4.300 8.721 8.092
Rb 2.580 5.232 17.724
Rb 4.300 8.721 24.177
Sr 0.860 1.744 3.227
Sr 6.020 12.209 22.588
P 2.580 5.232 9.681
P 4.300 8.721 16.135
S 3.812 3.948 8.489
S 3.812 6.517 10.872
S 5.532 7.437 17.326
S 5.532 10.005 14.943
S 1.348 3.948 10.872
S 1.348 6.517 8.489
S 3.068 7.437 14.943
S 3.068 10.005 17.326



Record 2
4
Lattice="0.000 4.145 4.145 4.145 0.000 4.145 4.145 4.145 0.000" Properties=species:S:1:pos:R:3 comment="InGaI2 (PBE, relaxed)" dos_ef_per_ev_fu=0.0 e_above_lowest_polymorph_mev_per_atom=80.3 formation_energy_uncorrected_mev_per_atom=-316 m_tot_mub_per_cell=0.000 final_energy_ev_per_cell=-10.13 space_group="Fm-3m, No. 225" pbc="T T T"
In 0.000 0.000 0.000
Ga 4.145 4.145 4.145
I 2.072 2.072 2.072
I 6.217 6.217 6.217



Record 3
29
Lattice="8.392 -11.661 0.000 8.392 11.661 0.000 -8.163 0.000 12.009" Properties=species:S:1:pos:R:3 comment="K12Rb16Li (PBE, relaxed)" dos_ef_per_ev_fu=21.0 m_tot_mub_per_cell=0.000 final_energy_ev_per_cell=-29.75 space_group="Cm, No. 8" formation_enthalpy_0k_mev_per_atom=28 pbc="T T T"
K 0.000 0.000 0.000
K 2.157 7.238 4.601
K -0.261 0.000 4.527
K 5.071 9.536 7.034
K 10.342 4.397 0.207
K 7.295 2.135 2.511
K 5.201 2.201 10.087
K 2.157 -7.238 4.601
K 7.295 -2.135 2.511
K 10.342 -4.397 0.207
K 5.201 -2.201 10.087
K 5.071 -9.536 7.034
Rb -2.365 4.550 10.686
Rb 1.406 8.001 9.526
Rb 2.919 2.855 2.217
Rb 6.642 7.458 2.406
Rb 1.313 3.599 7.287
Rb 2.919 -2.855 2.217
Rb 5.992 4.742 6.280
Rb 0.156 0.000 10.264
Rb -2.365 -4.550 10.686
Rb 4.325 0.000 5.950
Rb 1.313 -3.599 7.287
Rb 11.944 0.000 2.411
Rb 9.017 0.000 6.709
Rb 1.406 -8.001 9.526
Rb 6.642 -7.458 2.406
Rb 5.992 -4.742 6.280
Li -4.235 0.000 10.657



Record 4
4
Lattice="3.193 0.000 0.000 0.000 3.193 0.000 0.000 0.000 9.407" Properties=species:S:1:pos:R:3 comment="AlCd2Pb (PBE, relaxed)" dos_ef_per_ev_fu=1.7 e_above_lowest_polymorph_mev_per_atom=16.8 m_tot_mub_per_cell=0.000 final_energy_ev_per_cell=-8.77 space_group="P4/mmm, No. 123" formation_enthalpy_0k_mev_per_atom=129 pbc="T T T"
Al 0.000 0.000 0.000
Cd 1.597 1.597 2.028
Cd 1.597 1.597 7.378
Pb 0.000 0.000 4.703



Record 5
5
Lattice="3.878 0.000 0.000 0.000 3.878 0.000 0.000 0.000 3.878" Properties=species:S:1:pos:R:3 comment="TiAlN3 (PBE, relaxed)" dos_ef_per_ev_fu=2.8 formation_energy_uncorrected_mev_per_atom=563 m_tot_mub_per_cell=0.588 final_energy_ev_per_cell=-33.80 space_group="Pm-3m, No. 221" pbc="T T T"
Ti 0.000 0.000 0.000
Al 1.939 1.939 1.939
N 0.000 0.000 1.939
N 0.000 1.939 0.000
N 1.939 0.000 0.000



Record 6
4
Lattice="3.025 0.000 0.000 0.000 4.352 0.000 0.000 0.000 6.537" Properties=species:S:1:pos:R:3 comment="InAg2Se (PBE, relaxed)" dos_ef_per_ev_fu=0.9 formation_energy_uncorrected_mev_per_atom=27 m_tot_mub_per_cell=0.000 final_energy_ev_per_cell=-11.82 space_group="Pmmm, No. 47" pbc="T T T"
In 0.000 0.000 0.000
Ag 1.512 2.176 1.472
Ag 1.512 2.176 5.066
Se 1.512 0.000 3.269



Record 7
8
Lattice="6.767 0.000 0.000 0.000 3.878 0.000 -2.216 0.000 6.465" Properties=species:S:1:pos:R:3 comment="SmHo2PaS4 (PBE, relaxed)" dos_ef_per_ev_fu=5.3 formation_energy_uncorrected_mev_per_atom=-1875 m_tot_mub_per_cell=0.001 final_energy_ev_per_cell=-54.88 space_group="P2/m, No. 10" pbc="T T T"
Sm 0.000 0.000 0.000
Ho -1.108 1.939 3.233
Ho 2.276 0.000 3.233
Pa 3.383 1.939 0.000
S 0.048 0.000 4.803
S 1.163 1.939 1.672
S 3.388 1.939 4.793
S 4.503 0.000 1.662